Density functional theory data (PBE) for a relaxed NiRuW crystal.

Properties
Distance to the lowest polymorph of the same formula in meV per atom: 0
Space group: Imm2 (44)

a = 2.7181 Å, b = 3.7825 Å, c = 8.0218 Å
α = 90.00°, β = 90.00°, γ = 90.00°
Closest atoms and distances in Å follow each position.
Atoms (fractional coordinates):
1 Ni 0.0000 0.0000 0.0000  5 Ru 2.66-2.72, 5 W 2.67-2.69, 2 Ni 2.72
2 Ni 0.5000 0.5000 0.5000  5 Ru 2.66-2.72, 5 W 2.67-2.69, 2 Ni 2.72
3 Ru 0.0000 0.0000 0.6612  5 W 2.63-2.71, 5 Ni 2.66-2.72, 2 Ru 2.72
4 Ru 0.5000 0.5000 0.1612  5 W 2.63-2.71, 5 Ni 2.66-2.72, 2 Ru 2.72
5 W 0.0000 0.0000 0.3330  5 Ru 2.63-2.71, 5 Ni 2.67-2.69, 2 W 2.72
6 W 0.5000 0.5000 0.8330  5 Ru 2.63-2.71, 5 Ni 2.67-2.69, 2 W 2.72


Density functional theory data (PBE) for a relaxed Ni2RuW crystal.

Properties
Space group: Cm (8)

a = 8.6894 Å, b = 2.6810 Å, c = 4.5454 Å
α = 90.00°, β = 99.93°, γ = 90.00°
Closest atoms and distances in Å follow each position.
Atoms (fractional coordinates):
1 Ni 0.0000 0.0000 0.0000  4 Ru 2.58-2.70, 5 Ni 2.59-2.68, 3 W 2.63-2.66
2 Ni 0.2469 0.5000 0.2270  5 Ni 2.59-2.68, 4 W 2.59-2.69, 3 Ru 2.61-2.67
3 Ni 0.5000 0.5000 0.0000  4 Ru 2.58-2.70, 5 Ni 2.59-2.68, 3 W 2.63-2.66
4 Ni 0.7469 0.0000 0.2270  5 Ni 2.59-2.68, 4 W 2.59-2.69, 3 Ru 2.61-2.67
5 Ru 0.4913 0.0000 0.4814  3 W 2.56-2.72, 7 Ni 2.58-2.70, 2 Ru 2.68
6 Ru 0.9913 0.5000 0.4814  3 W 2.56-2.72, 7 Ni 2.58-2.70, 2 Ru 2.68
7 W 0.2523 0.0000 0.7425  3 Ru 2.56-2.72, 7 Ni 2.59-2.69, 2 W 2.68
8 W 0.7523 0.5000 0.7425  3 Ru 2.56-2.72, 7 Ni 2.59-2.69, 2 W 2.68


Density functional theory data (PBE) for a relaxed NiRuW2 crystal.

Properties
Space group: P4/mmm (123)

a = 2.7398 Å, b = 2.7398 Å, c = 7.6318 Å
α = 90.00°, β = 90.00°, γ = 90.00°
Closest atoms and distances in Å follow each position.
Atoms (fractional coordinates):
1 Ni 0.0000 0.0000 0.0000  8 W 2.69, 4 Ni 2.74
2 Ru 0.0000 0.0000 0.5000  4 Ru 2.74, 8 W 2.75
3 W 0.5000 0.5000 0.2436  4 Ni 2.69, 4 W 2.74, 4 Ru 2.75
4 W 0.5000 0.5000 0.7564  4 Ni 2.69, 4 W 2.74, 4 Ru 2.75


Density functional theory data (PBE) for a relaxed NiRuW crystal.

Properties
Distance to the lowest polymorph of the same formula in meV per atom: 479
Space group: F-43m (216)

a = 5.8096 Å, b = 5.8096 Å, c = 5.8096 Å
α = 90.00°, β = 90.00°, γ = 90.00°
Closest atoms and distances in Å follow each position.
Atoms (fractional coordinates):
1 Ni 0.0000 0.0000 0.0000  4 W 2.52
2 Ni 0.0000 0.5000 0.5000  4 W 2.52
3 Ni 0.5000 0.0000 0.5000  4 W 2.52
4 Ni 0.5000 0.5000 0.0000  4 W 2.52
5 Ru 0.0000 0.0000 0.5000  4 W 2.52
6 Ru 0.0000 0.5000 0.0000  4 W 2.52
7 Ru 0.5000 0.0000 0.0000  4 W 2.52
8 Ru 0.5000 0.5000 0.5000  4 W 2.52
9 W 0.2500 0.2500 0.7500  4 Ru 2.52, 4 Ni 2.52
10 W 0.2500 0.7500 0.2500  4 Ru 2.52, 4 Ni 2.52
11 W 0.7500 0.2500 0.2500  4 Ru 2.52, 4 Ni 2.52
12 W 0.7500 0.7500 0.7500  4 Ru 2.52, 4 Ni 2.52


Density functional theory data (PBE) for a relaxed NiRu2W crystal.

Properties
Space group: P4mm (99)

a = 2.7094 Å, b = 2.7094 Å, c = 7.5569 Å
α = 90.00°, β = 90.00°, γ = 90.00°
Closest atoms and distances in Å follow each position.
Atoms (fractional coordinates):
1 Ni 0.0000 0.0000 0.0000  4 W 2.61, 4 Ru 2.68, 4 Ni 2.71
2 Ru 0.0000 0.0000 0.4842  8 Ru 2.61-2.71, 4 W 2.86
3 Ru 0.5000 0.5000 0.2488  8 Ru 2.61-2.71, 4 Ni 2.68
4 W 0.5000 0.5000 0.7656  4 Ni 2.61, 4 W 2.71, 4 Ru 2.86


Density functional theory data (PBE) for a relaxed NiRuW2 crystal.

Properties
Space group: C2/m (12)

a = 8.9705 Å, b = 2.8383 Å, c = 4.6441 Å
α = 90.00°, β = 100.69°, γ = 90.00°
Closest atoms and distances in Å follow each position.
Atoms (fractional coordinates):
1 Ni 0.0000 0.0000 0.0000  6 W 2.70-2.72, 4 Ru 2.72, 2 Ni 2.84
2 Ni 0.5000 0.5000 0.0000  6 W 2.70-2.72, 4 Ru 2.72, 2 Ni 2.84
3 Ru 0.0000 0.5000 0.5000  6 W 2.70-2.75, 4 Ni 2.72, 2 Ru 2.84
4 Ru 0.5000 0.0000 0.5000  6 W 2.70-2.75, 4 Ni 2.72, 2 Ru 2.84
5 W 0.2469 0.5000 0.2443  6 W 2.69-2.84, 3 Ni 2.70-2.72, 3 Ru 2.70-2.75
6 W 0.2531 0.0000 0.7557  6 W 2.69-2.84, 3 Ni 2.70-2.72, 3 Ru 2.70-2.75
7 W 0.7469 0.0000 0.2443  6 W 2.69-2.84, 3 Ni 2.70-2.72, 3 Ru 2.70-2.75
8 W 0.7531 0.5000 0.7557  6 W 2.69-2.84, 3 Ni 2.70-2.72, 3 Ru 2.70-2.75


Density functional theory data (PBE) for a relaxed NiRuW4 crystal.

Properties
Space group: F-43m (216)

a = 5.1739 Å, b = 5.1739 Å, c = 5.1739 Å
α = 60.00°, β = 60.00°, γ = 60.00°
Closest atoms and distances in Å follow each position.
Atoms (fractional coordinates):
1 Ni 0.0000 0.0000 0.0000  12 W 3.03, 4 Ru 3.17
2 Ru 0.7500 0.7500 0.7500  12 W 3.04, 4 Ni 3.17
3 W 0.3740 0.3740 0.3740  6 W 2.57-2.61
4 W 0.3740 0.3740 0.8781  6 W 2.57-2.61
5 W 0.3740 0.8781 0.3740  6 W 2.57-2.61
6 W 0.8781 0.3740 0.3740  6 W 2.57-2.61


Density functional theory data (PBE) for a relaxed NiRuW2 crystal.

Properties
Space group: Cm (8)

a = 8.9041 Å, b = 2.8039 Å, c = 4.7121 Å
α = 90.00°, β = 100.76°, γ = 90.00°
Closest atoms and distances in Å follow each position.
Atoms (fractional coordinates):
1 Ni 0.0000 0.0000 0.0000  7 W 2.60-2.74, 3 Ru 2.71-2.81, 2 Ni 2.80
2 Ni 0.5000 0.5000 0.0000  7 W 2.60-2.74, 3 Ru 2.71-2.81, 2 Ni 2.80
3 Ru 0.2548 0.0000 0.7254  7 W 2.62-2.83, 3 Ni 2.71-2.81, 2 Ru 2.80
4 Ru 0.7548 0.5000 0.7254  7 W 2.62-2.83, 3 Ni 2.71-2.81, 2 Ru 2.80
5 W 0.0037 0.5000 0.5020  3 Ru 2.62-2.68, 4 Ni 2.74, 5 W 2.78-2.85
6 W 0.2432 0.5000 0.1992  3 Ni 2.60-2.63, 4 Ru 2.65-2.83, 5 W 2.78-2.85
7 W 0.5037 0.0000 0.5020  3 Ru 2.62-2.68, 4 Ni 2.74, 5 W 2.78-2.85
8 W 0.7432 0.0000 0.1992  3 Ni 2.60-2.63, 4 Ru 2.65-2.83, 5 W 2.78-2.85


| no. | size of the total moment (μB per cell) | DOS at the Fermi energy (states/eV/cell) | formation energy from the elements (meV/atom) |
| --- | --- | --- | --- |
| 1 | 0.0 | 6.694 | 20 |
| 2 | 0.0 | 9.839 | 57 |
| 3 | 0.0 | 3.105 | 71 |
| 4 | 0.0 | 7.663 | 498 |
| 5 | 0.0 | 4.238 | 107 |
| 6 | 0.0 | 8.074 | 183 |
| 7 | 0.0 | 4.012 | 577 |
| 8 | 0.0 | 6.553 | 94 |